# 1
# LiV2OF5 (SCAN, single point on PBEsol structure)
# Volume   777.4 Å³/cell
# Energy above the most stable polymorph in this dataset   0.000 eV/atom
data_LiV2OF5
_cell_length_a 6.549
_cell_length_b 6.549
_cell_length_c 18.124
_cell_angle_alpha 90.00
_cell_angle_beta 90.17
_cell_angle_gamma 90.00
_space_group_name_H-M_alt 'C 1 c 1'
_space_group_IT_number 9
loop_
_space_group_symop_operation_xyz
'x,y,z'
'x,-y,z+1/2'
'x+1/2,y+1/2,z'
'x+1/2,-y+1/2,z+1/2'
loop_
_atom_site_label
_atom_site_fract_x
_atom_site_fract_y
_atom_site_fract_z
_atom_site_occupancy
Li1 0.000 0.003 0.000 1
Li2 0.005 0.497 0.250 1
V1 0.002 0.476 0.583 1
V2 0.003 0.007 0.660 1
V3 0.026 0.002 0.833 1
V4 0.496 0.002 0.910 1
O1 0.002 0.209 0.594 1
O2 0.294 0.002 0.844 1
F1 0.001 0.196 0.416 1
F2 0.001 0.200 0.916 1
F3 0.002 0.211 0.085 1
F4 0.004 0.189 0.248 1
F5 0.004 0.195 0.749 1
F6 0.192 0.498 0.498 1
F7 0.201 0.498 0.165 1
F8 0.213 0.498 0.335 1
F9 0.305 0.002 0.666 1
F10 0.309 0.002 0.999 1

***

# 2
# Li2VOF4 (SCAN, single point on PBEsol structure)
# Volume   321.8 Å³/cell
# Energy above the most stable polymorph in this dataset   0.000 eV/atom
data_Li2VOF4
_cell_length_a 10.199
_cell_length_b 4.949
_cell_length_c 6.814
_cell_angle_alpha 90.00
_cell_angle_beta 110.66
_cell_angle_gamma 90.00
_space_group_name_H-M_alt 'C 1 2/c 1'
_space_group_IT_number 15
loop_
_space_group_symop_operation_xyz
'x,y,z'
'-x,-y,-z'
'-x,y,-z+1/2'
'x,-y,z+1/2'
'x+1/2,y+1/2,z'
'-x+1/2,-y+1/2,-z'
'-x+1/2,y+1/2,-z+1/2'
'x+1/2,-y+1/2,z+1/2'
loop_
_atom_site_label
_atom_site_fract_x
_atom_site_fract_y
_atom_site_fract_z
_atom_site_occupancy
Li1 0.143 0.006 0.245 1
V1 0.000 0.500 0.000 1
O1 0.000 0.368 0.250 1
F1 0.087 0.174 0.960 1
F2 0.178 0.338 0.640 1

***

# 3
# LiV5O7F (SCAN, single point on PBEsol structure)
# Volume   413.0 Å³/cell
# Energy above the most stable polymorph in this dataset   0.000 eV/atom
# N(E_F)   2.62 states/eV per cell
data_LiV5O7F
_cell_length_a 5.7389
_cell_length_b 5.7389
_cell_length_c 14.4784
_cell_angle_alpha 90.00
_cell_angle_beta 90.00
_cell_angle_gamma 120.00
_space_group_name_H-M_alt 'R 3 m'
_space_group_IT_number 160
_space_group_name_Hall 'R 3 -2"'
loop_
_atom_site_label
_atom_site_fract_x
_atom_site_fract_y
_atom_site_fract_z
_atom_site_occupancy
Li1 0.0000 0.0000 0.0000 1
V1 0.0000 0.0000 0.3517 1
V2 0.0000 0.0000 0.7666 1
V3 0.1889 0.3778 0.2122 1
O1 0.0000 0.0000 0.6371 1
O2 0.0356 0.5178 0.1186 1
O3 0.1717 0.3435 0.9423 1
F1 0.0000 0.0000 0.1325 1

***

# 4
# Li2VOF5 (SCAN, single point on PBEsol structure)
# Volume   203.7 Å³/cell
# N(E_F)   0.00 states/eV per cell
data_Li2VOF5
_cell_length_a 5.019
_cell_length_b 5.434
_cell_length_c 8.903
_cell_angle_alpha 90.00
_cell_angle_beta 122.96
_cell_angle_gamma 90.00
_space_group_name_H-M_alt 'P 1 c 1'
_space_group_IT_number 7
loop_
_space_group_symop_operation_xyz
'x,y,z'
'x,-y,z+1/2'
loop_
_atom_site_label
_atom_site_fract_x
_atom_site_fract_y
_atom_site_fract_z
_atom_site_occupancy
Li1 0.000 0.104 0.000 1
Li2 0.264 0.249 0.761 1
V1 0.750 0.287 0.243 1
O1 0.538 0.475 0.704 1
F1 0.002 0.041 0.797 1
F2 0.115 0.435 0.301 1
F3 0.426 0.063 0.189 1
F4 0.664 0.235 0.014 1
F5 0.901 0.248 0.481 1

***

# 5
# LiVOF4 (SCAN, single point on PBEsol structure)
# Volume   329.5 Å³/cell
# N(E_F)   0.00 states/eV per cell
data_LiVOF4
_cell_length_a 3.553
_cell_length_b 9.792
_cell_length_c 9.472
_cell_angle_alpha 90.00
_cell_angle_beta 90.00
_cell_angle_gamma 90.00
_space_group_name_H-M_alt 'C m c 21'
_space_group_IT_number 36
loop_
_space_group_symop_operation_xyz
'x,y,z'
'-x,-y,z+1/2'
'-x,y,z'
'x,-y,z+1/2'
'x+1/2,y+1/2,z'
'-x+1/2,-y+1/2,z+1/2'
'-x+1/2,y+1/2,z'
'x+1/2,-y+1/2,z+1/2'
loop_
_atom_site_label
_atom_site_fract_x
_atom_site_fract_y
_atom_site_fract_z
_atom_site_occupancy
Li1 0.000 0.001 0.000 1
V1 0.000 0.291 0.749 1
O1 0.000 0.203 0.249 1
F1 0.000 0.160 0.615 1
F2 0.000 0.160 0.884 1
F3 0.000 0.423 0.611 1
F4 0.000 0.423 0.887 1

***

# 6
# Li7VO5F (SCAN, single point on PBEsol structure)
# Volume   123.2 Å³/cell
# Energy above the most stable polymorph in this dataset   0.030 eV/atom
data_Li7VO5F
_cell_length_a 5.459
_cell_length_b 5.508
_cell_length_c 5.641
_cell_angle_alpha 61.20
_cell_angle_beta 62.11
_cell_angle_gamma 60.35
_space_group_name_H-M_alt 'P 1'
_space_group_IT_number 1
loop_
_space_group_symop_operation_xyz
'x,y,z'
loop_
_atom_site_label
_atom_site_fract_x
_atom_site_fract_y
_atom_site_fract_z
_atom_site_occupancy
Li1 0.000 0.000 0.000 1
Li2 0.028 0.814 0.610 1
Li3 0.267 0.432 0.979 1
Li4 0.378 0.216 0.636 1
Li5 0.553 0.705 0.978 1
Li6 0.746 0.445 0.676 1
Li7 0.811 0.311 0.277 1
V1 0.535 0.911 0.297 1
O1 0.258 0.043 0.108 1
O2 0.435 0.553 0.549 1
O3 0.610 0.292 0.080 1
O4 0.679 0.861 0.564 1
O5 0.862 0.706 0.066 1
F1 0.097 0.150 0.589 1

***

Formation energy without anion corrections across the listed records, respectively: -3.1369, -3.0466, -2.5483, -2.9696, -2.8747, -2.3310 eV per atom.
Density across the listed records, respectively: 3.8, 3.2, 4.7, 2.9, 3.0, 2.7 g cm⁻³.
Spin magnetization across the listed records, respectively: 4.00, 1.00, 4.99, 0.09, 0.09, 1.00 μB/f.u..